Record 1
Crystalline Ti2Te6Pt at its relaxed geometry, computed with GGA-PBE.

ΔE_f (raw) ... -0.53 eV/atom
D(E_F) ... 0.334 states/eV per atom
Volume ... 30.14 A^3/atom

Cell: 6.5417 6.5417 7.3194 Å, 90.00 90.00 120.00°
Closest atoms and distances in Å follow each position.
Space group P-31m (No. 162)
Symmetry-distinct sites (fractional):
Ti1 0.3333 0.6667 0.0000 [2 per cell]  6 Te 2.78
Te1 0.0000 0.3285 0.2324 [6 per cell]  1 Pt 2.74, 2 Ti 2.78
Pt1 0.0000 0.0000 0.0000 [1 per cell]  6 Te 2.74

=====

Record 2
Crystalline La4TeAs2P at its relaxed geometry, computed with GGA-PBE.

ΔE_f (raw) ... -1.61 eV/atom
D(E_F) ... 0.257 states/eV per atom
Volume ... 30.18 A^3/atom

Cell: 7.6127 4.3920 7.6506 Å, 90.00 109.30 90.00°
Closest atoms and distances in Å follow each position.
Space group P2/m (No. 10)
Symmetry-distinct sites (fractional):
La1 0.2382 0.0000 0.2328 [2 per cell]  3 As 3.02-3.15, 1 P 3.08, 2 Te 3.21
La2 0.2476 0.5000 0.7611 [2 per cell]  3 As 3.03-3.14, 2 P 3.09, 1 Te 3.20
Te1 0.5000 0.5000 0.5000 [1 per cell]  6 La 3.20-3.21
As1 0.0000 0.0000 0.5000 [1 per cell]  6 La 3.14-3.15
As2 0.0000 0.5000 0.0000 [1 per cell]  6 La 3.02-3.03
P1 0.5000 0.0000 0.0000 [1 per cell]  6 La 3.08-3.09

=====

Record 3
Crystalline SiSnW at its relaxed geometry, computed with GGA-PBE.

ΔE_f (raw) ... 0.14 eV/atom
Excess energy over the best structure of this formula in the dataset ... 76.5 meV/atom
D(E_F) ... 0.544 states/eV per atom
Volume ... 19.72 A^3/atom

Cell: 3.1676 3.4577 10.8303 Å, 90.00 94.16 90.00°
Closest atoms and distances in Å follow each position.
Space group Pm (No. 6)
Symmetry-distinct sites (fractional):
Si1 0.0000 0.0000 0.0000 [1 per cell]  4 W 2.54-2.55, 2 Sn 2.81
Si2 0.4439 0.0000 0.7446 [1 per cell]  6 W 2.48-2.51
Sn1 0.2279 0.5000 0.1985 [1 per cell]  2 Si 2.81
Sn2 0.3693 0.0000 0.4766 [1 per cell]  1 Si 2.90, 4 W 3.08-3.11, 2 Sn 3.17
W1 0.4741 0.5000 0.9090 [1 per cell]  6 Si 2.48-2.55
W2 0.9240 0.5000 0.6631 [1 per cell]  4 Si 2.50-2.51

=====

Record 4
Crystalline La2AlAs at its relaxed geometry, computed with GGA-PBE.

Excess energy over the best structure of this formula in the dataset ... 243.0 meV/atom
D(E_F) ... 1.305 states/eV per atom
Calculated formation energy ... -0.597 eV/atom
Volume ... 27.02 A^3/atom

Cell: 7.5616 7.5616 7.5616 Å, 90.00 90.00 90.00°
Closest atoms and distances in Å follow each position.
Space group Fm-3m (No. 225)
Symmetry-distinct sites (fractional):
La1 0.2500 0.2500 0.2500 [8 per cell]  4 As 3.27, 4 Al 3.27
Al1 0.0000 0.0000 0.0000 [4 per cell]  8 La 3.27
As1 0.0000 0.0000 0.5000 [4 per cell]  8 La 3.27

=====

Calculated total energy across the listed records, respectively: -5.051, -6.301, -7.317, -5.159 eV/atom.